[1]
Material: Nb2MoIr5Os
Method: DFT, PBE
State: optimized geometry

## Properties
M_tot ... 0.000 μB/atom
Calculated formation energy ... 473.8 meV per atom

Cell: 7.5221 7.5221 7.5507 Å, 119.87 119.87 90.00°
Last column: nearest neighbours and their distance in Å.
Element x y z (fractional)
1 Mo 0.2500 0.2500 0.5000  10 Ir 2.68-2.99
2 Ir 0.6695 0.1695 0.7337  1 Os 2.44, 1 Nb 2.46
3 Os 0.7500 0.2500 0.5000  4 Ir 2.44
4 Ir 0.3305 0.8305 0.2663  1 Os 2.44, 1 Nb 2.46
5 Os 0.2500 0.7500 0.5000  4 Ir 2.44
6 Nb 0.3856 0.8856 0.0000  1 Nb 2.43, 2 Ir 2.46
7 Ir 0.9358 0.4358 0.2663  1 Os 2.44, 1 Nb 2.46
8 Nb 0.8856 0.6144 0.0000  1 Nb 2.43, 2 Ir 2.46
9 Ir 0.8305 0.9358 0.2663  1 Os 2.44, 1 Nb 2.46
10 Ir 0.0000 0.0000 0.0000  2 Mo 2.68
11 Ir 0.1695 0.0642 0.7337  1 Os 2.44, 1 Nb 2.46
12 Mo 0.7500 0.7500 0.5000  10 Ir 2.68-2.99
13 Ir 0.5000 0.5000 0.0000  2 Mo 2.68
14 Ir 0.4358 0.3305 0.2663  1 Os 2.44, 1 Nb 2.46
15 Nb 0.6144 0.1144 0.0000  1 Nb 2.43, 2 Ir 2.46
16 Ir 0.5642 0.6695 0.7337  1 Os 2.44, 1 Nb 2.46
17 Nb 0.1144 0.3856 0.0000  1 Nb 2.43, 2 Ir 2.46
18 Ir 0.0642 0.5642 0.7337  1 Os 2.44, 1 Nb 2.46

---

[2]
Material: NbMo2IrPb
Method: DFT, PBE
State: optimized geometry

## Properties
M_tot ... 0.000 μB/atom
Calculated formation energy ... 2727.6 meV per atom

Cell: 4.8912 5.0039 4.8912 Å, 90.00 90.00 90.00°
Last column: nearest neighbours and their distance in Å.
Element x y z (fractional)
1 Nb 0.0000 0.5000 0.0000  2 Pb 2.50
2 Ir 0.5000 0.5000 0.5000  4 Nb 3.46, 8 Mo 3.50
3 Pb 0.0000 0.0000 0.0000  4 Mo 2.45, 2 Nb 2.50
4 Mo 0.0000 0.0000 0.5000  2 Pb 2.45
5 Mo 0.5000 0.0000 0.0000  2 Pb 2.45

---

[3]
Material: NbMo2IrPd
Method: DFT, PBE
State: optimized geometry

## Properties
M_tot ... 0.000 μB/atom
Calculated formation energy ... 1744.1 meV per atom

Cell: 4.6974 4.7480 4.6974 Å, 90.00 90.00 90.00°
Last column: nearest neighbours and their distance in Å.
Element x y z (fractional)
1 Mo 0.5000 0.0000 0.0000  2 Nb 2.35
2 Ir 0.0000 0.5000 0.0000  2 Nb 2.37
3 Pd 0.5000 0.5000 0.5000  4 Ir 3.32, 8 Mo 3.34
4 Mo 0.0000 0.0000 0.5000  2 Nb 2.35
5 Nb 0.0000 0.0000 0.0000  4 Mo 2.35, 2 Ir 2.37

---

[4]
Material: NbMoIrPt
Method: DFT, PBE
State: optimized geometry

## Properties
M_tot ... 0.000 μB/atom
Calculated formation energy ... -483.8 meV per atom

Cell: 4.0180 3.9522 3.9574 Å, 90.00 90.00 90.00°
Last column: nearest neighbours and their distance in Å.
Element x y z (fractional)
1 Pt 0.0000 0.0000 0.0000  4 Ir 2.80, 4 Mo 2.82, 4 Nb 2.82
2 Nb 0.5000 0.0000 0.5000  4 Mo 2.80, 4 Ir 2.82, 4 Pt 2.82
3 Mo 0.5000 0.5000 0.0000  4 Nb 2.80, 4 Pt 2.82, 4 Ir 2.82
4 Ir 0.0000 0.5000 0.5000  4 Pt 2.80, 4 Nb 2.82, 4 Mo 2.82

---

[5]
Material: Nb2MoIr5Rh
Method: DFT, PBE
State: optimized geometry

## Properties
M_tot ... 0.000 μB/atom
Calculated formation energy ... 374.4 meV per atom

Cell: 7.3821 7.3821 7.6042 Å, 119.04 119.04 90.00°
Last column: nearest neighbours and their distance in Å.
Element x y z (fractional)
1 Mo 0.2500 0.2500 0.5000  10 Ir 2.76-2.92
2 Ir 0.8454 0.9305 0.2759  1 Nb 2.37, 1 Rh 2.50, 1 Ir 2.63
3 Nb 0.1182 0.3818 0.0000  2 Ir 2.37, 1 Nb 2.47
4 Ir 0.4305 0.3454 0.2759  1 Nb 2.37, 1 Rh 2.50, 1 Ir 2.63
5 Ir 0.5000 0.5000 0.0000  2 Mo 2.76, 4 Nb 2.95, 8 Ir 3.06
6 Nb 0.6182 0.1182 0.0000  2 Ir 2.37, 1 Nb 2.47
7 Ir 0.0000 0.0000 0.0000  2 Mo 2.76, 4 Nb 2.95, 8 Ir 3.06
8 Ir 0.5695 0.6546 0.7241  1 Nb 2.37, 1 Rh 2.50, 1 Ir 2.63
9 Ir 0.0695 0.5695 0.7241  1 Nb 2.37, 1 Rh 2.50, 1 Ir 2.63
10 Ir 0.3454 0.8454 0.2759  1 Nb 2.37, 1 Rh 2.50, 1 Ir 2.63
11 Nb 0.3818 0.8818 0.0000  2 Ir 2.37, 1 Nb 2.47
12 Ir 0.9305 0.4305 0.2759  1 Nb 2.37, 1 Rh 2.50, 1 Ir 2.63
13 Nb 0.8818 0.6182 0.0000  2 Ir 2.37, 1 Nb 2.47
14 Ir 0.1546 0.0695 0.7241  1 Nb 2.37, 1 Rh 2.50, 1 Ir 2.63
15 Rh 0.2500 0.7500 0.5000  4 Ir 2.50
16 Rh 0.7500 0.2500 0.5000  4 Ir 2.50
17 Mo 0.7500 0.7500 0.5000  10 Ir 2.76-2.92
18 Ir 0.6546 0.1546 0.7241  1 Nb 2.37, 1 Rh 2.50, 1 Ir 2.63

---

[6]
Material: NbMoIrRh
Method: DFT, PBE
State: optimized geometry

## Properties
M_tot ... 0.000 μB/atom
Calculated formation energy ... -369.5 meV per atom

Cell: 3.9193 3.9923 3.9624 Å, 90.00 90.00 90.00°
Last column: nearest neighbours and their distance in Å.
Element x y z (fractional)
1 Ir 0.0000 0.0000 0.0000  4 Mo 2.79, 4 Nb 2.80, 4 Rh 2.81
2 Nb 0.5000 0.5000 0.0000  4 Rh 2.79, 4 Ir 2.80, 4 Mo 2.81
3 Mo 0.5000 0.0000 0.5000  4 Ir 2.79, 4 Rh 2.80, 4 Nb 2.81
4 Rh 0.0000 0.5000 0.5000  4 Nb 2.79, 4 Mo 2.80, 4 Ir 2.81

---

[7]
Material: Nb2MoIrRu
Method: DFT, PBE
State: optimized geometry

## Properties
Energy relative to the lowest polymorph listed for this composition ... 0.1527 eV per atom
M_tot ... 0.317 μB/atom
Calculated formation energy ... 1476.0 meV per atom

Cell: 4.8011 4.6448 4.8011 Å, 90.00 90.00 90.00°
Last column: nearest neighbours and their distance in Å.
Element x y z (fractional)
1 Ir 0.0000 0.0000 0.0000  2 Ru 2.32, 4 Nb 2.40
2 Mo 0.5000 0.5000 0.5000  8 Nb 3.34, 4 Ru 3.39
3 Ru 0.0000 0.5000 0.0000  2 Ir 2.32
4 Nb 0.5000 0.0000 0.0000  2 Ir 2.40
5 Nb 0.0000 0.0000 0.5000  2 Ir 2.40

---

[8]
Material: NbMoIrRu
Method: DFT, PBE
State: optimized geometry

## Properties
M_tot ... 0.000 μB/atom
Calculated formation energy ... -227.2 meV per atom

Cell: 4.0217 3.9920 3.8659 Å, 90.00 90.00 90.00°
Last column: nearest neighbours and their distance in Å.
Element x y z (fractional)
1 Ir 0.5000 0.5000 0.0000  4 Nb 2.78, 4 Mo 2.79, 4 Ru 2.83
2 Nb 0.5000 0.0000 0.5000  4 Ir 2.78, 4 Ru 2.79, 4 Mo 2.83
3 Mo 0.0000 0.5000 0.5000  4 Ru 2.78, 4 Ir 2.79, 4 Nb 2.83
4 Ru 0.0000 0.0000 0.0000  4 Mo 2.78, 4 Nb 2.79, 4 Ir 2.83

---

[9]
Material: Nb2MoIr5Ru
Method: DFT, PBE
State: optimized geometry

## Properties
M_tot ... 0.010 μB/atom
Calculated formation energy ... 428.0 meV per atom

Cell: 7.4083 7.4083 7.5719 Å, 119.29 119.29 90.00°
Last column: nearest neighbours and their distance in Å.
Element x y z (fractional)
1 Ir 0.0000 0.0000 0.0000  2 Mo 2.73, 4 Nb 2.97, 8 Ir 3.06
2 Ru 0.7500 0.2500 0.5000  4 Ir 2.45
3 Nb 0.6170 0.1170 0.0000  2 Ir 2.42, 1 Nb 2.45
4 Ir 0.9349 0.4349 0.2743  1 Nb 2.42, 1 Ru 2.45, 1 Ir 2.66
5 Ir 0.5000 0.5000 0.0000  2 Mo 2.73, 4 Nb 2.97, 8 Ir 3.06
6 Mo 0.7500 0.7500 0.5000  10 Ir 2.73-2.94
7 Ir 0.5651 0.6606 0.7257  1 Nb 2.42, 1 Ru 2.45, 1 Ir 2.66
8 Ir 0.1606 0.0651 0.7257  1 Nb 2.42, 1 Ru 2.45, 1 Ir 2.66
9 Ru 0.2500 0.7500 0.5000  4 Ir 2.45
10 Nb 0.1170 0.3830 0.0000  2 Ir 2.42, 1 Nb 2.45
11 Ir 0.4349 0.3394 0.2743  1 Nb 2.42, 1 Ru 2.45, 1 Ir 2.66
12 Ir 0.0651 0.5651 0.7257  1 Nb 2.42, 1 Ru 2.45, 1 Ir 2.66
13 Ir 0.3394 0.8394 0.2743  1 Nb 2.42, 1 Ru 2.45, 1 Ir 2.66
14 Ir 0.8394 0.9349 0.2743  1 Nb 2.42, 1 Ru 2.45, 1 Ir 2.66
15 Nb 0.3830 0.8830 0.0000  2 Ir 2.42, 1 Nb 2.45
16 Mo 0.2500 0.2500 0.5000  10 Ir 2.73-2.94
17 Ir 0.6606 0.1606 0.7257  1 Nb 2.42, 1 Ru 2.45, 1 Ir 2.66
18 Nb 0.8830 0.6170 0.0000  2 Ir 2.42, 1 Nb 2.45

---

[10]
Material: Nb2MoIrRu
Method: DFT, PBE
State: optimized geometry

## Properties
Energy relative to the lowest polymorph listed for this composition ... 0.0000 eV per atom
M_tot ... 0.000 μB/atom
Calculated formation energy ... 1323.3 meV per atom

Cell: 4.7126 4.5981 4.7126 Å, 90.00 90.00 90.00°
Last column: nearest neighbours and their distance in Å.
Element x y z (fractional)
1 Nb 0.5000 0.0000 0.0000  2 Ru 2.36
2 Nb 0.0000 0.0000 0.5000  2 Ru 2.36
3 Mo 0.0000 0.5000 0.0000  2 Ru 2.30
4 Ru 0.0000 0.0000 0.0000  2 Mo 2.30, 4 Nb 2.36
5 Ir 0.5000 0.5000 0.5000  8 Nb 3.29, 4 Mo 3.33

---

[11]
Material: NbMoIr2S
Method: DFT, PBE
State: optimized geometry

## Properties
M_tot ... 0.000 μB/atom
Formation energy from raw total energies ... 0.5119 eV per atom

Cell: 4.4061 4.3806 4.4061 Å, 90.00 90.00 90.00°
Last column: nearest neighbours and their distance in Å.
Element x y z (fractional)
1 Ir 0.5000 0.0000 0.0000  2 S 2.20
2 Nb 0.5000 0.5000 0.5000  8 Ir 3.11, 4 Mo 3.12
3 Ir 0.0000 0.0000 0.5000  2 S 2.20
4 Mo 0.0000 0.5000 0.0000  2 S 2.19
5 S 0.0000 0.0000 0.0000  2 Mo 2.19, 4 Ir 2.20

---

[12]
Material: TaNbMoIr
Method: DFT, PBE
State: optimized geometry

## Properties
M_tot ... 0.000 μB/atom
Calculated formation energy ... -336.7 meV per atom

Cell: 4.5431 4.5431 4.5431 Å, 60.00 60.00 60.00°
Last column: nearest neighbours and their distance in Å.
Element x y z (fractional)
1 Ta 0.7500 0.7500 0.7500  4 Ir 2.78, 4 Mo 2.78
2 Ir 0.0000 0.0000 0.0000  4 Ta 2.78, 4 Nb 2.78
3 Mo 0.5000 0.5000 0.5000  4 Nb 2.78, 4 Ta 2.78
4 Nb 0.2500 0.2500 0.2500  4 Ir 2.78, 4 Mo 2.78

---

Q: The highest M_tot belongs to which entry?
A: number 7

---

Q: What is the formula in the eleventh record?
A: NbMoIr2S